The following is a DFT calculation (GGA+U) of NaZnNi2F6 after structural relaxation.

energy: -39.8 eV per cell
total moment: 3.00 μB per cell
SG: P1, No. 1

Unit cell a=5.250 b=5.464 c=5.645 alpha=112.21 beta=91.38 gamma=118.63
Element x y z (fractional)
Na1 0.000 0.000 0.000
Zn1 0.520 0.065 0.555
Ni1 0.210 0.445 0.610
Ni2 0.724 0.455 0.137
F1 0.137 0.626 0.374
F2 0.336 0.275 0.826
F3 0.432 0.279 0.359
F4 0.561 0.877 0.796
F5 0.834 0.030 0.379
F6 0.928 0.515 0.827